P) # VP2OF

A geometry-optimized VP2OF structure (PBE with a Hubbard U, the Alexandria database).

Summary:
- total magnetic moment (μB per formula unit) = 1.9
- symmetry = P4/mmm, No. 123
- DOS(E_F) (states/eV/atom) = 0.44
- ρ (Mg/m³) = 3.42

a b c (Å): 3.9805 4.5254 3.9805
angles (deg): 90.00 90.00 90.00
Site moments in Bohr magnetons follow the coordinates.
Fractional coordinates of all 5 atoms:
O 0.0000 0.0000 0.0000  0.04
F 0.5000 0.5000 0.5000  0.10
V 0.0000 0.5000 0.0000  -2.53
P 0.0000 0.0000 0.5000  0.20
P 0.5000 0.0000 0.0000  0.14

=====

Q) # VP2OF

A geometry-optimized VP2OF structure (PBE with a Hubbard U, the Alexandria database).

Summary:
- total magnetic moment (μB per formula unit) = 0.4
- symmetry = P4/mmm, No. 123
- DOS(E_F) (states/eV/atom) = 0.51
- ρ (Mg/m³) = 3.59

a b c (Å): 3.9154 3.9154 4.4601
angles (deg): 90.00 90.00 90.00
Site moments in Bohr magnetons follow the coordinates.
Fractional coordinates of all 5 atoms:
P 0.5000 0.0000 0.0000  -0.02
P 0.0000 0.5000 0.0000  -0.02
V 0.5000 0.5000 0.5000  0.04
F 0.0000 0.0000 0.0000  0.01
O 0.0000 0.0000 0.5000  0.38

=====

R) # VP2OF

A geometry-optimized VP2OF structure (PBE with a Hubbard U, the Alexandria database).

Summary:
- total magnetic moment (μB per formula unit) = 1.5
- symmetry = P4/mmm, No. 123
- DOS(E_F) (states/eV/atom) = 0.56
- ρ (Mg/m³) = 3.14

a b c (Å): 4.6226 3.6561 4.6226
angles (deg): 90.00 90.00 90.00
Site moments in Bohr magnetons follow the coordinates.
Fractional coordinates of all 5 atoms:
P 0.0000 0.0000 0.5000  0.26
P 0.5000 0.0000 0.0000  0.24
V 0.0000 0.0000 0.0000  0.12
O 0.0000 0.5000 0.0000  0.15
F 0.5000 0.5000 0.5000  0.09

=====

Q: What are the energies relative to the best structure? A: P) 133; Q) 813; R) 0, in meV/atom.

=====

P) # VPOF2

A geometry-optimized VPOF2 structure (PBE with a Hubbard U, the Alexandria database).

Summary:
- total magnetic moment (μB per formula unit) = 3.7
- symmetry = P4/mmm, No. 123
- DOS(E_F) (states/eV/atom) = 0.85
- ρ (Mg/m³) = 3.26

a b c (Å): 4.4330 4.4330 3.5256
angles (deg): 90.00 90.00 90.00
Site moments in Bohr magnetons follow the coordinates.
Fractional coordinates of all 5 atoms:
V 0.5000 0.5000 0.5000  3.19
F 0.5000 0.0000 0.0000  0.01
F 0.0000 0.5000 0.0000  0.01
O 0.0000 0.0000 0.5000  0.02
P 0.0000 0.0000 0.0000  0.00

=====

Q) # VPOF2

A geometry-optimized VPOF2 structure (PBE with a Hubbard U, the Alexandria database).

Summary:
- total magnetic moment (μB per formula unit) = 2.0
- symmetry = P4/mmm, No. 123
- DOS(E_F) (states/eV/atom) = 0.64
- ρ (Mg/m³) = 3.45

a b c (Å): 4.1559 4.1559 3.7862
angles (deg): 90.00 90.00 90.00
Site moments in Bohr magnetons follow the coordinates.
Fractional coordinates of all 5 atoms:
V 0.0000 0.0000 0.0000  -0.09
F 0.0000 0.5000 0.0000  0.07
F 0.5000 0.0000 0.0000  0.07
P 0.5000 0.5000 0.5000  1.00
O 0.0000 0.0000 0.5000  -0.14

=====

Q: What are the energies relative to the best structure? A: P) 271; Q) 0, in meV/atom.